1.
Below is crystalline NaErOs2O8 at its relaxed geometry, with properties calculated at the PBE-GGA level.

Cell lengths 5.230, 5.230, 11.437 Å; angles 90.00, 90.00, 90.00 degrees
Space group I-4 (No. 82)
One atom of each set of equivalent atoms:
Na 0.000 0.000 0.000 (multiplicity 2)
Er 0.000 0.500 0.750 (multiplicity 2)
Os 0.000 0.000 0.500 (multiplicity 2)
Os 0.000 0.500 0.250 (multiplicity 2)
O 0.152 0.246 0.588 (multiplicity 8)
O 0.173 0.752 0.174 (multiplicity 8)

Results
M_tot = 0.05 μB per atom
formation energy from raw total energies = -1.537 eV/atom

2.
Below is crystalline Na2ErOsO6 at its relaxed geometry, with properties calculated at the PBE-GGA level.

Cell lengths 5.615, 5.712, 9.774 Å; angles 90.00, 124.82, 90.00 degrees
Space group P2_1/c (No. 14)
One atom of each set of equivalent atoms:
Na 0.244 0.034 0.250 (multiplicity 4)
Er 0.500 0.000 0.000 (multiplicity 2)
Os 0.000 0.000 0.500 (multiplicity 2)
O 0.140 0.227 0.957 (multiplicity 4)
O 0.235 0.688 0.961 (multiplicity 4)
O 0.309 0.022 0.730 (multiplicity 4)

Results
M_tot = 0.02 μB per atom
formation energy from raw total energies = -1.899 eV/atom

3.
Below is crystalline Na3Er3OsO8 at its relaxed geometry, with properties calculated at the PBE-GGA level.

Cell lengths 6.6279, 6.6279, 16.6980 Å; angles 90.00, 90.00, 120.00 degrees
Space group R-3m (No. 166, hexagonal axes)
One atom of each set of equivalent atoms:
Na 0.0000 0.5000 0.0000 (multiplicity 9)
Er 0.0000 0.5000 0.5000 (multiplicity 9)
Os 0.0000 0.0000 0.5000 (multiplicity 3)
O 0.0000 0.0000 0.2362 (multiplicity 6)
O 0.0254 0.5127 0.2331 (multiplicity 18)

Results
M_tot = 0.13 μB per atom
formation energy from raw total energies = -2.407 eV/atom

4.
Below is crystalline NaErOsO6 at its relaxed geometry, with properties calculated at the PBE-GGA level.

Cell lengths 5.5179, 5.5179, 4.9964 Å; angles 90.00, 90.00, 120.00 degrees
Space group P312 (No. 149)
One atom of each set of equivalent atoms:
Na 0.0000 0.0000 0.0000 (multiplicity 1)
Er 0.3333 0.6667 0.5000 (multiplicity 1)
Os 0.6667 0.3333 0.5000 (multiplicity 1)
O 0.3942 0.0465 0.7139 (multiplicity 6)

Results
M_tot = 0.00 μB per atom
formation energy from raw total energies = -1.754 eV/atom

5.
Below is crystalline NaErP4O12 at its relaxed geometry, with properties calculated at the PBE-GGA level.

Cell lengths 7.246, 13.209, 12.108 Å; angles 90.00, 126.22, 90.00 degrees
Space group P2_1/c (No. 14)
One atom of each set of equivalent atoms:
Na 0.061 0.224 0.061 (multiplicity 4)
Er 0.467 0.223 0.978 (multiplicity 4)
P 0.005 0.604 0.256 (multiplicity 4)
P 0.108 0.615 0.735 (multiplicity 4)
P 0.346 0.627 0.199 (multiplicity 4)
P 0.441 0.094 0.707 (multiplicity 4)
O 0.067 0.512 0.787 (multiplicity 4)
O 0.093 0.626 0.163 (multiplicity 4)
O 0.105 0.151 0.897 (multiplicity 4)
O 0.192 0.616 0.406 (multiplicity 4)
O 0.208 0.166 0.301 (multiplicity 4)
O 0.223 0.686 0.855 (multiplicity 4)
O 0.284 0.582 0.701 (multiplicity 4)
O 0.333 0.707 0.106 (multiplicity 4)
O 0.352 0.164 0.588 (multiplicity 4)
O 0.358 0.519 0.143 (multiplicity 4)
O 0.379 0.115 0.803 (multiplicity 4)
O 0.479 0.135 0.149 (multiplicity 4)

Results
M_tot = 0.00 μB per atom
formation energy from raw total energies = -2.440 eV/atom

6.
Below is crystalline Na3ErP2O8 at its relaxed geometry, with properties calculated at the PBE-GGA level.

Cell lengths 13.910, 5.306, 18.706 Å; angles 90.00, 90.00, 90.00 degrees
Space group Pca2_1 (No. 29)
One atom of each set of equivalent atoms:
Na 0.033 0.036 0.064 (multiplicity 4)
Na 0.043 0.487 0.821 (multiplicity 4)
Na 0.106 0.000 0.725 (multiplicity 4)
Na 0.145 0.493 0.000 (multiplicity 4)
Na 0.207 0.971 0.906 (multiplicity 4)
Na 0.213 0.497 0.664 (multiplicity 4)
Er 0.106 0.428 0.482 (multiplicity 4)
Er 0.144 0.050 0.243 (multiplicity 4)
P 0.028 0.984 0.400 (multiplicity 4)
P 0.029 0.526 0.153 (multiplicity 4)
P 0.222 0.496 0.327 (multiplicity 4)
P 0.224 0.961 0.573 (multiplicity 4)
O 0.001 0.728 0.435 (multiplicity 4)
O 0.008 0.511 0.071 (multiplicity 4)
O 0.011 0.960 0.317 (multiplicity 4)
O 0.035 0.801 0.932 (multiplicity 4)
O 0.047 0.808 0.174 (multiplicity 4)
O 0.054 0.584 0.697 (multiplicity 4)
O 0.116 0.422 0.312 (multiplicity 4)
O 0.122 0.366 0.164 (multiplicity 4)
O 0.132 0.130 0.566 (multiplicity 4)
O 0.133 0.055 0.417 (multiplicity 4)
O 0.193 0.067 0.028 (multiplicity 4)
O 0.201 0.684 0.549 (multiplicity 4)
O 0.216 0.289 0.790 (multiplicity 4)
O 0.242 0.508 0.409 (multiplicity 4)
O 0.246 0.759 0.294 (multiplicity 4)
O 0.247 0.955 0.655 (multiplicity 4)

Results
M_tot = 0.00 μB per atom
formation energy from raw total energies = -2.557 eV/atom

7.
Below is crystalline NaErPO4 at its relaxed geometry, with properties calculated at the PBE-GGA level.

Cell lengths 6.127, 6.357, 8.878 Å; angles 90.00, 90.00, 90.00 degrees
Space group Imma (No. 74)
One atom of each set of equivalent atoms:
Na 0.250 0.250 0.250 (multiplicity 4)
Er 0.000 0.000 0.000 (multiplicity 4)
P 0.000 0.250 0.639 (multiplicity 4)
O 0.000 0.048 0.739 (multiplicity 8)
O 0.209 0.250 0.535 (multiplicity 8)

Results
M_tot = 0.02 μB per atom
formation energy from raw total energies = -2.380 eV/atom

8.
Below is crystalline Na2ErPaO6 at its relaxed geometry, with properties calculated at the PBE-GGA level.

Cell lengths 5.847, 5.980, 10.168 Å; angles 90.00, 124.94, 90.00 degrees
Space group P2_1/c (No. 14)
One atom of each set of equivalent atoms:
Na 0.242 0.038 0.250 (multiplicity 4)
Er 0.000 0.000 0.500 (multiplicity 2)
Pa 0.500 0.000 0.000 (multiplicity 2)
O 0.151 0.195 0.948 (multiplicity 4)
O 0.256 0.706 0.946 (multiplicity 4)
O 0.359 0.044 0.757 (multiplicity 4)

Results
M_tot = 0.21 μB per atom
formation energy from raw total energies = -2.515 eV/atom

9.
Below is crystalline NaErPaO4 at its relaxed geometry, with properties calculated at the PBE-GGA level.

Cell lengths 6.816, 7.129, 9.788 Å; angles 90.00, 90.00, 90.00 degrees
Space group Imma (No. 74)
One atom of each set of equivalent atoms:
Na 0.000 0.250 0.132 (multiplicity 4)
Er 0.250 0.250 0.750 (multiplicity 4)
Pa 0.000 0.000 0.500 (multiplicity 4)
O 0.000 0.039 0.728 (multiplicity 8)
O 0.213 0.250 0.517 (multiplicity 8)

Results
M_tot = 0.14 μB per atom
formation energy from raw total energies = -3.047 eV/atom

10.
Below is crystalline NaEr2PbO6 at its relaxed geometry, with properties calculated at the PBE-GGA level.

Cell lengths 5.7665, 5.7665, 15.5163 Å; angles 90.00, 90.00, 120.00 degrees
Space group R3 (No. 146, hexagonal axes)
One atom of each set of equivalent atoms:
Na 0.0000 0.0000 0.0000 (multiplicity 3)
Er 0.0000 0.0000 0.2151 (multiplicity 3)
Er 0.0000 0.0000 0.7226 (multiplicity 3)
Pb 0.0000 0.0000 0.5122 (multiplicity 3)
O 0.0008 0.3128 0.1218 (multiplicity 9)
O 0.0750 0.7051 0.2832 (multiplicity 9)

Results
M_tot = 0.11 μB per atom
formation energy from raw total energies = -2.193 eV/atom

11.
Below is crystalline Na4Er3PbO8 at its relaxed geometry, with properties calculated at the PBE-GGA level.

Cell lengths 6.8339, 6.8339, 16.8498 Å; angles 90.00, 90.00, 120.00 degrees
Space group R-3m (No. 166, hexagonal axes)
One atom of each set of equivalent atoms:
Na 0.0000 0.0000 0.0000 (multiplicity 3)
Na 0.0000 0.5000 0.0000 (multiplicity 9)
Er 0.0000 0.5000 0.5000 (multiplicity 9)
Pb 0.0000 0.0000 0.5000 (multiplicity 3)
O 0.0000 0.0000 0.2356 (multiplicity 6)
O 0.0144 0.5072 0.7610 (multiplicity 18)

Results
M_tot = 0.00 μB per atom
formation energy from raw total energies = -2.408 eV/atom

12.
Below is crystalline Na2Er2PbO6 at its relaxed geometry, with properties calculated at the PBE-GGA level.

Cell lengths 5.852, 10.215, 5.938 Å; angles 90.00, 107.40, 90.00 degrees
Space group C2/m (No. 12)
One atom of each set of equivalent atoms:
Na 0.000 0.164 0.000 (multiplicity 4)
Er 0.000 0.335 0.500 (multiplicity 4)
Pb 0.000 0.000 0.500 (multiplicity 2)
O 0.222 0.171 0.702 (multiplicity 8)
O 0.246 0.500 0.702 (multiplicity 4)

Results
M_tot = 0.00 μB per atom
formation energy from raw total energies = -2.273 eV/atom

13.
Below is crystalline Na3Er2PbO6 at its relaxed geometry, with properties calculated at the PBE-GGA level.

Cell lengths 5.939, 10.275, 5.975 Å; angles 90.00, 109.50, 90.00 degrees
Space group C2/m (No. 12)
One atom of each set of equivalent atoms:
Na 0.000 0.000 0.000 (multiplicity 2)
Na 0.000 0.335 0.000 (multiplicity 4)
Er 0.000 0.167 0.500 (multiplicity 4)
Pb 0.000 0.500 0.500 (multiplicity 2)
O 0.222 0.000 0.719 (multiplicity 4)
O 0.248 0.325 0.717 (multiplicity 8)

Results
M_tot = 0.06 μB per atom
formation energy from raw total energies = -2.257 eV/atom